Version 1
A geometry-optimized ScCr2Co structure, computed with PBE.

Geometry as POSCAR:
```
ScCr2Co
1.0
0.000 2.969 2.969
2.969 0.000 2.969
2.969 2.969 0.000
Sc Cr Co
1 2 1
direct
0.000 0.000 0.000 Sc
0.250 0.250 0.250 Cr
0.750 0.750 0.750 Cr
0.500 0.500 0.500 Co
```

Space group: No. 225
Total magnetic moment: 0.00 μB/f.u.

=====

Version 2
A geometry-optimized ScCr2Co structure, computed with PBE.

Geometry as POSCAR:
```
ScCr2Co
1.0
-1.741 1.741 4.441
1.741 -1.741 4.441
1.741 1.741 -4.441
Sc Cr Co
1 2 1
direct
0.000 0.000 0.000 Sc
0.250 0.750 0.500 Cr
0.750 0.250 0.500 Cr
0.500 0.500 0.000 Co
```

Space group: No. 139
Total magnetic moment: 0.00 μB/f.u.

=====

Version 3
A geometry-optimized ScCr2Co structure, computed with PBE.

Geometry as POSCAR:
```
ScCr2Co
1.0
1.344 0.776 8.628
-1.344 0.776 8.628
0.000 -1.552 8.628
Sc Cr Co
1 2 1
direct
0.000 0.000 0.000 Sc
0.241 0.241 0.241 Cr
0.759 0.759 0.759 Cr
0.500 0.500 0.500 Co
```

Space group: No. 166
Total magnetic moment: 0.42 μB/f.u.

=====

Stability, highest: version 2